# 1
# BeTl2Tc

A geometry-optimized BeTl2Tc structure (PBE, Alexandria via LeMat-Bulk).

a = 5.2172 Å, b = 5.2172 Å, c = 5.2172 Å
α = 133.74°, β = 133.74°, γ = 67.50°
Closest atoms and distances in Å follow each position.
Fractional positions:
Tc 0.7500 0.2500 0.5000  4 Be 2.90, 8 Tl 2.98
Be 0.2500 0.7500 0.5000  4 Tc 2.90, 8 Tl 2.98
Tl 0.0000 0.0000 0.0000  4 Tl 2.90, 4 Be 2.98, 4 Tc 2.98
Tl 0.5000 0.5000 0.0000  4 Tl 2.90, 4 Tc 2.98, 4 Be 2.98

Fermi-level density of states = 0.299 states/eV per atom
SG = No. 139
ρ = 11.75 g/cm³
E_tot = -3.890 eV/atom
ΔH_f (0 K) = 816 meV per atom
Energy relative to the lowest polymorph listed for this composition = 37.2 kJ per mole of atoms
Size of the total moment = 0.220 μB/atom

***

# 2
# BeTl2Tc

A geometry-optimized BeTl2Tc structure (PBE, Alexandria via LeMat-Bulk).

a = 3.2075 Å, b = 3.2075 Å, c = 7.6130 Å
α = 90.00°, β = 90.00°, γ = 90.00°
Closest atoms and distances in Å follow each position.
Fractional positions:
Be 0.0000 0.0000 0.5880  4 Tc 2.37
Tl 0.5000 0.5000 0.2969  1 Tc 2.89, 4 Be 3.17, 4 Tl 3.21
Tl 0.0000 0.0000 0.9388  1 Be 2.67
Tc 0.5000 0.5000 0.6762  4 Be 2.37

Fermi-level density of states = 1.007 states/eV per atom
SG = No. 99
ρ = 10.93 g/cm³
E_tot = -4.276 eV/atom
ΔH_f (0 K) = 430 meV per atom
Energy relative to the lowest polymorph listed for this composition = 0.0 kJ per mole of atoms
Size of the total moment = 0.000 μB/atom

***

# 3
# Be2TlTc

A geometry-optimized Be2TlTc structure (PBE, Alexandria via LeMat-Bulk).

a = 3.0069 Å, b = 3.0069 Å, c = 6.3068 Å
α = 90.00°, β = 90.00°, γ = 90.00°
Closest atoms and distances in Å follow each position.
Fractional positions:
Be 0.5000 0.5000 0.2452  4 Be 2.39, 4 Tc 2.41
Be 0.0000 0.0000 0.0714  1 Tc 2.22, 4 Be 2.39
Tl 0.5000 0.5000 0.7595  6 Be 2.90-3.24, 4 Tc 3.00, 4 Tl 3.01
Tc 0.0000 0.0000 0.4239  5 Be 2.22-2.41

Fermi-level density of states = 0.622 states/eV per atom
SG = No. 99
ρ = 9.33 g/cm³
E_tot = -4.586 eV/atom
ΔH_f (0 K) = 460 meV per atom
Energy relative to the lowest polymorph listed for this composition = 21.3 kJ per mole of atoms
Size of the total moment = 0.000 μB/atom

***

# 4
# BeTl2Tc

A geometry-optimized BeTl2Tc structure (PBE, Alexandria via LeMat-Bulk).

a = 8.6435 Å, b = 8.6435 Å, c = 8.6435 Å
α = 21.22°, β = 21.22°, γ = 21.22°
Closest atoms and distances in Å follow each position.
Fractional positions:
Be 0.2500 0.2500 0.2500  6 Tl 2.71
Tc 0.7500 0.7500 0.7500  6 Tl 2.89, 6 Tc 3.18
Tl 0.9953 0.9953 0.9953  3 Be 2.71, 3 Tc 2.89
Tl 0.5047 0.5047 0.5047  3 Be 2.71, 3 Tc 2.89

Fermi-level density of states = 0.607 states/eV per atom
SG = No. 166
ρ = 11.56 g/cm³
E_tot = -3.863 eV/atom
ΔH_f (0 K) = 843 meV per atom
Energy relative to the lowest polymorph listed for this composition = 39.9 kJ per mole of atoms
Size of the total moment = 0.000 μB/atom

***

# 5
# Be2TlTc

A geometry-optimized Be2TlTc structure (PBE, Alexandria via LeMat-Bulk).

a = 4.2107 Å, b = 4.2107 Å, c = 4.2107 Å
α = 60.00°, β = 60.00°, γ = 60.00°
Closest atoms and distances in Å follow each position.
Fractional positions:
Be 0.7500 0.7500 0.7500  4 Tl 2.58, 4 Tc 2.58
Be 0.2500 0.2500 0.2500  4 Tl 2.58, 4 Tc 2.58
Tc 0.0000 0.0000 0.0000  8 Be 2.58
Tl 0.5000 0.5000 0.5000  8 Be 2.58

Fermi-level density of states = 0.511 states/eV per atom
SG = No. 225
ρ = 10.08 g/cm³
E_tot = -4.509 eV/atom
ΔH_f (0 K) = 537 meV per atom
Energy relative to the lowest polymorph listed for this composition = 28.8 kJ per mole of atoms
Size of the total moment = 0.000 μB/atom

***

# 6
# BeTlTc2

A geometry-optimized BeTlTc2 structure (PBE, Alexandria via LeMat-Bulk).

a = 5.0648 Å, b = 5.1865 Å, c = 2.8296 Å
α = 79.38°, β = 79.57°, γ = 116.03°
Closest atoms and distances in Å follow each position.
Fractional positions:
Tl 0.0000 0.5000 0.5000  2 Be 2.67, 4 Tc 2.72, 2 Tl 2.83
Tc 0.5000 0.0000 0.5000  4 Tc 2.67-2.83, 2 Tl 2.72, 2 Be 2.72
Tc 0.0000 0.0000 0.0000  4 Tc 2.67-2.83, 2 Be 2.72, 2 Tl 2.72
Be 0.5000 0.5000 0.0000  2 Tl 2.67, 4 Tc 2.72, 2 Be 2.83

Fermi-level density of states = 1.087 states/eV per atom
SG = No. 12
ρ = 10.84 g/cm³
E_tot = -5.972 eV/atom
ΔH_f (0 K) = 734 meV per atom
Energy relative to the lowest polymorph listed for this composition = 51.7 kJ per mole of atoms
Size of the total moment = 0.001 μB/atom

***

# 7
# BeTl2Tc

A geometry-optimized BeTl2Tc structure (PBE, Alexandria via LeMat-Bulk).

a = 4.1850 Å, b = 3.1147 Å, c = 5.8258 Å
α = 86.74°, β = 90.00°, γ = 90.00°
Closest atoms and distances in Å follow each position.
Fractional positions:
Tc 0.5000 0.7500 0.7500  8 Tl 2.88-3.11, 2 Tc 3.11, 2 Be 3.22
Be 0.5000 0.2500 0.2500  4 Tl 2.57
Tl 0.0000 0.1528 0.0010  2 Be 2.57, 2 Tc 2.88
Tl 0.0000 0.3472 0.4990  2 Be 2.57, 2 Tc 2.88

Fermi-level density of states = 0.682 states/eV per atom
SG = No. 10
ρ = 11.30 g/cm³
E_tot = -3.808 eV/atom
ΔH_f (0 K) = 898 meV per atom
Energy relative to the lowest polymorph listed for this composition = 45.2 kJ per mole of atoms
Size of the total moment = 0.329 μB/atom

***

# 8
# BeTlTc2

A geometry-optimized BeTlTc2 structure (PBE, Alexandria via LeMat-Bulk).

a = 2.9855 Å, b = 2.9855 Å, c = 6.9027 Å
α = 90.00°, β = 90.00°, γ = 90.00°
Closest atoms and distances in Å follow each position.
Fractional positions:
Tc 0.0000 0.0000 0.9225  1 Tc 2.38, 4 Be 2.42
Tc 0.0000 0.0000 0.5775  1 Tc 2.38, 4 Be 2.42
Be 0.5000 0.5000 0.7500  8 Tc 2.42
Tl 0.5000 0.5000 0.2500  4 Tl 2.99, 8 Tc 3.09

Fermi-level density of states = 0.919 states/eV per atom
SG = No. 123
ρ = 11.05 g/cm³
E_tot = -6.360 eV/atom
ΔH_f (0 K) = 346 meV per atom
Energy relative to the lowest polymorph listed for this composition = 14.2 kJ per mole of atoms
Size of the total moment = 0.000 μB/atom

***

# 9
# BeTlTc2

A geometry-optimized BeTlTc2 structure (PBE, Alexandria via LeMat-Bulk).

a = 4.5877 Å, b = 4.5877 Å, c = 4.5877 Å
α = 126.10°, β = 126.10°, γ = 79.72°
Closest atoms and distances in Å follow each position.
Fractional positions:
Tl 0.5000 0.5000 0.0000  8 Tc 2.72-2.94, 4 Be 2.72
Tc 0.2500 0.7500 0.5000  4 Tl 2.72, 4 Tc 2.72, 4 Be 2.94
Tc 0.0000 0.0000 0.0000  4 Tc 2.72, 4 Be 2.72, 4 Tl 2.94
Be 0.7500 0.2500 0.5000  8 Tc 2.72-2.94, 4 Tl 2.72

Fermi-level density of states = 0.721 states/eV per atom
SG = No. 119
ρ = 11.16 g/cm³
E_tot = -6.135 eV/atom
ΔH_f (0 K) = 571 meV per atom
Energy relative to the lowest polymorph listed for this composition = 36.0 kJ per mole of atoms
Size of the total moment = 0.000 μB/atom

***

# 10
# Be2TlTc

A geometry-optimized Be2TlTc structure (PBE, Alexandria via LeMat-Bulk).

a = 4.7583 Å, b = 4.7583 Å, c = 4.7583 Å
α = 137.74°, β = 127.46°, γ = 69.62°
Closest atoms and distances in Å follow each position.
Fractional positions:
Tc 0.7500 0.2500 0.5000  4 Be 2.51, 4 Tl 2.72
Be 0.9843 0.9843 0.0000  2 Tc 2.51, 4 Tl 2.69-2.79, 4 Be 2.73
Be 0.5157 0.5157 0.0000  2 Tc 2.51, 4 Tl 2.69-2.79, 4 Be 2.73
Tl 0.2500 0.7500 0.5000  8 Be 2.69-2.79, 4 Tc 2.72

Fermi-level density of states = 0.676 states/eV per atom
SG = No. 71
ρ = 9.42 g/cm³
E_tot = -4.478 eV/atom
ΔH_f (0 K) = 568 meV per atom
Energy relative to the lowest polymorph listed for this composition = 31.7 kJ per mole of atoms
Size of the total moment = 0.000 μB/atom

***

# 11
# BeTlTc2

A geometry-optimized BeTlTc2 structure (PBE, Alexandria via LeMat-Bulk).

a = 4.8190 Å, b = 4.8190 Å, c = 2.9927 Å
α = 90.00°, β = 90.00°, γ = 115.67°
Closest atoms and distances in Å follow each position.
Fractional positions:
Tc 0.0000 0.0000 0.0000  2 Tc 2.57, 4 Tl 2.84, 4 Be 2.84
Tc 0.5000 0.5000 0.0000  2 Tc 2.57, 4 Be 2.84, 4 Tl 2.84
Be 0.0000 0.5000 0.5000  2 Tl 2.57, 8 Tc 2.84
Tl 0.5000 0.0000 0.5000  2 Be 2.57, 8 Tc 2.84

Fermi-level density of states = 1.206 states/eV per atom
SG = No. 65
ρ = 10.85 g/cm³
E_tot = -5.936 eV/atom
ΔH_f (0 K) = 770 meV per atom
Energy relative to the lowest polymorph listed for this composition = 55.2 kJ per mole of atoms
Size of the total moment = 0.001 μB/atom

***

# 12
# Be2TlTc

A geometry-optimized Be2TlTc structure (PBE, Alexandria via LeMat-Bulk).

a = 3.4062 Å, b = 2.9845 Å, c = 5.8926 Å
α = 89.94°, β = 90.00°, γ = 90.00°
Closest atoms and distances in Å follow each position.
Fractional positions:
Be 0.5000 0.9977 0.2902  2 Be 2.13, 4 Tc 2.35
Be 0.0000 0.0061 0.0745  2 Be 2.13
Tl 0.5000 0.9982 0.7390  3 Be 2.61-2.64
Tc 0.0000 0.4980 0.3964  6 Be 2.35-2.43

Fermi-level density of states = 0.496 states/eV per atom
SG = No. 6
ρ = 8.88 g/cm³
E_tot = -4.636 eV/atom
ΔH_f (0 K) = 410 meV per atom
Energy relative to the lowest polymorph listed for this composition = 16.5 kJ per mole of atoms
Size of the total moment = 0.000 μB/atom

***

# 13
# BeTlTc2

A geometry-optimized BeTlTc2 structure (PBE, Alexandria via LeMat-Bulk).

a = 2.8333 Å, b = 2.8333 Å, c = 8.8840 Å
α = 90.00°, β = 90.00°, γ = 114.65°
Closest atoms and distances in Å follow each position.
Fractional positions:
Tl 0.0000 0.0000 0.5106  6 Tl 2.83-3.06, 2 Be 2.89, 2 Tc 3.01
Tc 0.0000 0.0000 0.9851  2 Be 2.34, 2 Tc 2.57
Tc 0.5000 0.5000 0.2183  6 Tc 2.57-2.83
Be 0.5000 0.5000 0.7861  2 Tc 2.34

Fermi-level density of states = 0.899 states/eV per atom
SG = No. 35
ρ = 10.49 g/cm³
E_tot = -6.078 eV/atom
ΔH_f (0 K) = 628 meV per atom
Energy relative to the lowest polymorph listed for this composition = 41.4 kJ per mole of atoms
Size of the total moment = 0.000 μB/atom

***

# 14
# BeTlTc2

A geometry-optimized BeTlTc2 structure (PBE, Alexandria via LeMat-Bulk).

a = 3.9306 Å, b = 2.9750 Å, c = 5.6180 Å
α = 71.89°, β = 90.00°, γ = 90.00°
Closest atoms and distances in Å follow each position.
Fractional positions:
Tl 0.5000 0.2500 0.2500  2 Be 2.74, 8 Tc 2.94-2.97, 2 Tl 2.98
Tc 0.0000 0.5820 0.5556  2 Be 2.38, 1 Tc 2.45
Tc 0.0000 0.9180 0.9444  2 Be 2.38, 1 Tc 2.45
Be 0.5000 0.7500 0.7500  4 Tc 2.38

Fermi-level density of states = 0.962 states/eV per atom
SG = No. 10
ρ = 10.89 g/cm³
E_tot = -6.167 eV/atom
ΔH_f (0 K) = 540 meV per atom
Energy relative to the lowest polymorph listed for this composition = 32.9 kJ per mole of atoms
Size of the total moment = 0.000 μB/atom

***

# 15
# BeTlTc2

A geometry-optimized BeTlTc2 structure (PBE, Alexandria via LeMat-Bulk).

a = 4.2364 Å, b = 4.2364 Å, c = 6.4807 Å
α = 72.38°, β = 72.38°, γ = 40.31°
Closest atoms and distances in Å follow each position.
Fractional positions:
Tc 0.9965 0.9965 0.9668  1 Tc 2.35, 3 Be 2.39-2.41
Tc 0.2073 0.2073 0.1512  1 Tc 2.35, 2 Be 2.46
Be 0.7465 0.7465 0.8340  5 Tc 2.39-2.46
Tl 0.5497 0.5497 0.5481  3 Be 2.78-2.92, 4 Tc 2.87-2.99, 2 Tl 2.92

Fermi-level density of states = 0.513 states/eV per atom
SG = No. 8
ρ = 9.55 g/cm³
E_tot = -6.216 eV/atom
ΔH_f (0 K) = 490 meV per atom
Energy relative to the lowest polymorph listed for this composition = 28.2 kJ per mole of atoms
Size of the total moment = 0.000 μB/atom

***

# 16
# Be2TlTc

A geometry-optimized Be2TlTc structure (PBE, Alexandria via LeMat-Bulk).

a = 5.2730 Å, b = 5.2730 Å, c = 3.5440 Å
α = 70.32°, β = 70.32°, γ = 37.45°
Closest atoms and distances in Å follow each position.
Fractional positions:
Tc 0.5180 0.5180 0.4823  6 Be 2.33-2.45
Be 0.0217 0.0217 0.9785  2 Be 2.36, 4 Tc 2.45
Be 0.1892 0.1892 0.3106  2 Tc 2.33, 2 Be 2.36, 4 Tl 2.57
Tl 0.7712 0.7712 0.7287  4 Be 2.57, 2 Tc 2.86

Fermi-level density of states = 0.108 states/eV per atom
SG = No. 44
ρ = 9.50 g/cm³
E_tot = -4.726 eV/atom
ΔH_f (0 K) = 320 meV per atom
Energy relative to the lowest polymorph listed for this composition = 7.8 kJ per mole of atoms
Size of the total moment = 0.000 μB/atom

***

# 17
# BeTl2Tc

A geometry-optimized BeTl2Tc structure (PBE, Alexandria via LeMat-Bulk).

a = 3.1527 Å, b = 3.1527 Å, c = 8.9700 Å
α = 90.00°, β = 90.00°, γ = 119.62°
Closest atoms and distances in Å follow each position.
Fractional positions:
Tc 0.5000 0.5000 0.7500  4 Tl 2.84, 6 Tc 3.15-3.17
Tl 0.0000 0.0000 0.4871  2 Be 2.65, 2 Tc 2.84
Tl 0.0000 0.0000 0.0129  2 Be 2.65, 2 Tc 2.84
Be 0.5000 0.5000 0.2500  4 Tl 2.65

Fermi-level density of states = 0.590 states/eV per atom
SG = No. 65
ρ = 11.05 g/cm³
E_tot = -3.774 eV/atom
ΔH_f (0 K) = 932 meV per atom
Energy relative to the lowest polymorph listed for this composition = 48.5 kJ per mole of atoms
Size of the total moment = 0.319 μB/atom

***

# 18
# BeTlTc2

A geometry-optimized BeTlTc2 structure (PBE, Alexandria via LeMat-Bulk).

a = 5.0776 Å, b = 5.0776 Å, c = 5.0833 Å
α = 144.82°, β = 127.12°, γ = 65.01°
Closest atoms and distances in Å follow each position.
Fractional positions:
Tc 0.0465 0.0465 0.0000  2 Be 2.32
Tc 0.4535 0.4535 0.0000  2 Be 2.32
Tl 0.7500 0.2500 0.5000  4 Be 2.73-2.74, 8 Tc 2.86-2.97
Be 0.2500 0.7500 0.5000  4 Tc 2.32

Fermi-level density of states = 0.617 states/eV per atom
SG = No. 12
ρ = 11.43 g/cm³
E_tot = -6.252 eV/atom
ΔH_f (0 K) = 454 meV per atom
Energy relative to the lowest polymorph listed for this composition = 24.6 kJ per mole of atoms
Size of the total moment = 0.000 μB/atom

***

# 19
# Be2TlTc

A geometry-optimized Be2TlTc structure (PBE, Alexandria via LeMat-Bulk).

a = 8.0162 Å, b = 8.0162 Å, c = 8.0162 Å
α = 21.75°, β = 21.75°, γ = 21.75°
Closest atoms and distances in Å follow each position.
Fractional positions:
Tc 0.2500 0.2500 0.2500  6 Be 2.36
Tl 0.7500 0.7500 0.7500  6 Be 2.91, 6 Tl 3.02
Be 0.5158 0.5158 0.5158  3 Tc 2.36
Be 0.9842 0.9842 0.9842  3 Tc 2.36

Fermi-level density of states = 0.560 states/eV per atom
SG = No. 166
ρ = 8.58 g/cm³
E_tot = -4.438 eV/atom
ΔH_f (0 K) = 609 meV per atom
Energy relative to the lowest polymorph listed for this composition = 35.6 kJ per mole of atoms
Size of the total moment = 0.000 μB/atom

***

# 20
# BeTlTc2

A geometry-optimized BeTlTc2 structure (PBE, Alexandria via LeMat-Bulk).

a = 5.0645 Å, b = 5.0645 Å, c = 5.0645 Å
α = 143.69°, β = 128.14°, γ = 64.95°
Closest atoms and distances in Å follow each position.
Fractional positions:
Tc 0.7579 0.2579 0.5000  4 Be 2.72, 4 Tc 2.77-2.98, 4 Tl 2.85-2.92
Tc 0.0242 0.0242 0.0000  2 Be 2.41
Tl 0.4799 0.4799 0.0000  2 Be 2.60, 6 Tc 2.75-2.85
Be 0.2380 0.7380 0.5000  2 Tc 2.41, 2 Tl 2.60

Fermi-level density of states = 0.933 states/eV per atom
SG = No. 44
ρ = 11.38 g/cm³
E_tot = -6.149 eV/atom
ΔH_f (0 K) = 557 meV per atom
Energy relative to the lowest polymorph listed for this composition = 34.6 kJ per mole of atoms
Size of the total moment = 0.000 μB/atom